Density functional theory data (PBE) for crystalline Nb2VAs3 at its relaxed geometry.

Cell: 3.3917 6.1089 9.8786 Å, 90.00 90.00 90.00°
Last column: nearest neighbours and their distance in Å.
Atoms (fractional coordinates):
As (0.5000, 0.1785, 0.7179)  2 V 2.59, 4 Nb 2.62-2.80
As (0.5000, 0.2070, 0.0488)  4 V 2.59-2.61, 2 Nb 2.64
As (0.5000, 0.7070, 0.9512)  4 V 2.59-2.61, 2 Nb 2.64
As (0.0000, 0.8089, 0.6285)  5 Nb 2.56-2.68
As (0.5000, 0.6785, 0.2821)  2 V 2.59, 4 Nb 2.62-2.80
As (0.0000, 0.3089, 0.3715)  5 Nb 2.56-2.68
Nb (0.5000, 0.9999, 0.4573)  6 As 2.62-2.80
Nb (0.5000, 0.4999, 0.5427)  6 As 2.62-2.80
Nb (0.0000, 0.4904, 0.7969)  5 As 2.56-2.67
Nb (0.0000, 0.9904, 0.2031)  5 As 2.56-2.67
V (0.0000, 0.5166, 0.1108)  7 As 2.59-2.87
V (0.0000, 0.0166, 0.8892)  7 As 2.59-2.87

## Properties
**Crystal system**: orthorhombic
**Calculated total energy**: -92.3 eV per cell
**Energy relative to the elements**: -0.487 eV per atom
**Total magnetic moment**: 0.00 Bohr magnetons per cell
**Space group**: Pmc2_1



Density functional theory data (PBE) for crystalline Nb3VAs at its relaxed geometry.

Cell: 4.7451 4.7451 4.7451 Å, 90.00 90.00 90.00°
Last column: nearest neighbours and their distance in Å.
Atoms (fractional coordinates):
Nb (0.0000, 0.5000, 0.0000)  2 As 2.37
Nb (0.0000, 0.0000, 0.5000)  2 As 2.37
Nb (0.5000, 0.0000, 0.0000)  2 As 2.37
V (0.5000, 0.5000, 0.5000)  12 Nb 3.36
As (0.0000, 0.0000, 0.0000)  6 Nb 2.37

## Properties
**Polymorph energy (0 for the lowest one)**: 0 meV/atom
**Crystal system**: cubic
**Calculated total energy**: -39.7 eV per cell
**Energy relative to the elements**: 0.849 eV per atom
**Total magnetic moment**: 1.65 Bohr magnetons per cell
**Space group**: Pm-3m



Density functional theory data (PBE) for crystalline NbVAs at its relaxed geometry.

Cell: 3.2536 8.3865 7.7696 Å, 93.71 102.09 90.00°
Last column: nearest neighbours and their distance in Å.
Atoms (fractional coordinates):
Nb (0.8969, 0.6632, 0.7937)  4 As 2.69-2.70, 2 V 2.75, 2 Nb 2.88
Nb (0.5252, 0.8410, 0.0503)  3 As 2.63-2.71, 3 Nb 2.82-2.88
Nb (0.1031, 0.3368, 0.2063)  4 As 2.69-2.70, 2 V 2.75, 2 Nb 2.88
Nb (0.4748, 0.1590, 0.9497)  3 As 2.63-2.71, 3 Nb 2.82-2.88
As (0.3779, 0.4069, 0.7557)  4 V 2.55-2.74, 3 Nb 2.63-2.70
As (0.3564, 0.9036, 0.7128)  4 V 2.50-2.74, 4 Nb 2.65-2.71
As (0.6221, 0.5931, 0.2443)  4 V 2.55-2.74, 3 Nb 2.63-2.70
As (0.6436, 0.0964, 0.2872)  4 V 2.50-2.74, 4 Nb 2.65-2.71
V (0.2514, 0.6247, 0.5028)  4 V 2.55-2.65, 4 As 2.55-2.74, 2 Nb 2.75
V (0.7486, 0.3753, 0.4972)  4 V 2.55-2.65, 4 As 2.55-2.74, 2 Nb 2.75
V (0.2708, 0.1477, 0.5416)  4 As 2.50-2.63, 2 V 2.55
V (0.7292, 0.8523, 0.4584)  4 As 2.50-2.63, 2 V 2.55

## Properties
**Crystal system**: monoclinic
**Calculated total energy**: -97.3 eV per cell
**Energy relative to the elements**: -0.160 eV per atom
**Total magnetic moment**: 0.00 Bohr magnetons per cell
**Space group**: C2/m